# 1
! Pm2Y2Zn PBE optimized geometry; values from VASP
&SYSTEM
  ibrav = 0, nat = 5, ntyp = 3
/
ATOMIC_SPECIES
Pm 145.00 Pm.upf
Y 88.91 Y.upf
Zn 65.41 Zn.upf
ATOMIC_POSITIONS crystal
Pm 0.1930 0.1930 0.0000
Pm 0.8070 0.8070 0.0000
Y 0.4228 0.4228 0.0000
Y 0.5772 0.5772 0.0000
Zn 0.0000 0.0000 0.0000
CELL_PARAMETERS angstrom
-1.7987 1.7987 11.3929
1.7987 -1.7987 11.3929
1.7987 1.7987 -11.3929
! total magnetization: 0.000 μB per formula unit
! crystal system: tetragonal
! V: 147 Å³/cell
! energy of formation: -134 meV per atom

=====

# 2
! MgAl2Hg2 PBE optimized geometry; values from VASP
&SYSTEM
  ibrav = 0, nat = 5, ntyp = 3
/
ATOMIC_SPECIES
Mg 24.30 Mg.upf
Al 26.98 Al.upf
Hg 200.59 Hg.upf
ATOMIC_POSITIONS crystal
Mg 0.0000 0.0000 0.0000
Al 0.3937 0.3937 0.0000
Al 0.6063 0.6063 0.0000
Hg 0.2500 0.7500 0.5000
Hg 0.7500 0.2500 0.5000
CELL_PARAMETERS angstrom
-2.1943 2.1943 5.8757
2.1943 -2.1943 5.8757
2.1943 2.1943 -5.8757
! total magnetization: 0.000 μB per formula unit
! crystal system: tetragonal
! V: 113 Å³/cell
! energy of formation: 163 meV per atom

=====

| no. | ΔE to the lowest computed polymorph (meV/atom) |
| --- | --- |
| 1 | 0 |
| 2 | 103 |